## Ta4TcMo (PBE-GGA)

Data for Ta4TcMo after structural relaxation.

The structure in CIF format:
```
data_Ta4TcMo
_space_group_name_H-M_alt 'F -4 3 m'
_space_group_IT_number 216
_space_group_name_Hall 'F -4 2 3'
_cell_length_a 7.5663
_cell_length_b 7.5663
_cell_length_c 7.5663
_cell_angle_alpha 90.00
_cell_angle_beta 90.00
_cell_angle_gamma 90.00
loop_
_atom_site_label
_atom_site_type_symbol
_atom_site_fract_x
_atom_site_fract_y
_atom_site_fract_z
Ta1 Ta 0.1251 0.1251 0.1251
Tc1 Tc 0.0000 0.0000 0.5000
Mo1 Mo 0.2500 0.2500 0.7500
```

Final energy ... -65.9 eV per formula unit
Energy relative to the elements ... 0.4442 eV/atom
N(E_F) ... 28.0 states/eV per cell

=====

## Mg6FeSi (PBE-GGA)

Data for Mg6FeSi after structural relaxation.

The structure in CIF format:
```
data_Mg6FeSi
_space_group_name_H-M_alt 'A m m 2'
_space_group_IT_number 38
_space_group_name_Hall 'A 2 -2'
_cell_length_a 4.8105
_cell_length_b 6.0170
_cell_length_c 10.5364
_cell_angle_alpha 90.00
_cell_angle_beta 90.00
_cell_angle_gamma 90.00
loop_
_atom_site_label
_atom_site_type_symbol
_atom_site_fract_x
_atom_site_fract_y
_atom_site_fract_z
Mg1 Mg 0.0000 0.0000 0.0000
Mg2 Mg 0.0000 0.0000 0.4978
Mg3 Mg 0.0000 0.2445 0.2585
Mg4 Mg 0.5000 0.2488 0.5900
Fe1 Fe 0.5000 0.0000 0.3406
Si1 Si 0.5000 0.0000 0.8421
```

Final energy ... -22.2 eV per formula unit
N(E_F) ... 12.8 states/eV per cell

=====

## ReTc2Pt (PBE-GGA)

Data for ReTc2Pt after structural relaxation.

The structure in CIF format:
```
data_ReTc2Pt
_space_group_name_H-M_alt 'F m -3 m'
_space_group_IT_number 225
_space_group_name_Hall '-F 4 2 3'
_cell_length_a 6.2312
_cell_length_b 6.2312
_cell_length_c 6.2312
_cell_angle_alpha 90.00
_cell_angle_beta 90.00
_cell_angle_gamma 90.00
loop_
_atom_site_label
_atom_site_type_symbol
_atom_site_fract_x
_atom_site_fract_y
_atom_site_fract_z
Re1 Re 0.0000 0.0000 0.0000
Tc1 Tc 0.2500 0.2500 0.2500
Pt1 Pt 0.0000 0.0000 0.5000
```

Final energy ... -38.2 eV per formula unit
Energy relative to the elements ... 0.2530 eV/atom
N(E_F) ... 13.9 states/eV per cell

=====

## AlMo2N (PBE-GGA)

Data for AlMo2N after structural relaxation.

The structure in CIF format:
```
data_AlMo2N
_space_group_name_H-M_alt 'I -4 2 d'
_space_group_IT_number 122
_space_group_name_Hall 'I -4 2bw'
_cell_length_a 5.2019
_cell_length_b 5.2019
_cell_length_c 10.2827
_cell_angle_alpha 90.00
_cell_angle_beta 90.00
_cell_angle_gamma 90.00
loop_
_atom_site_label
_atom_site_type_symbol
_atom_site_fract_x
_atom_site_fract_y
_atom_site_fract_z
Al1 Al 0.0000 0.0000 0.0000
Mo1 Mo 0.1288 0.2500 0.6250
N1 N 0.0000 0.0000 0.5000
```

Final energy ... -31.7 eV per formula unit
N(E_F) ... 10.5 states/eV per cell

=====

## Ac6TlGa (PBE-GGA)

Data for Ac6TlGa after structural relaxation.

The structure in CIF format:
```
data_Ac6TlGa
_space_group_name_H-M_alt 'C 1 2/m 1'
_space_group_IT_number 12
_space_group_name_Hall '-C 2y'
_cell_length_a 7.7366
_cell_length_b 13.0936
_cell_length_c 7.5684
_cell_angle_alpha 90.00
_cell_angle_beta 115.80
_cell_angle_gamma 90.00
loop_
_atom_site_label
_atom_site_type_symbol
_atom_site_fract_x
_atom_site_fract_y
_atom_site_fract_z
Ac1 Ac 0.2199 0.1948 0.2477
Ac2 Ac 0.2361 0.0000 0.7559
Tl1 Tl 0.0000 0.5000 0.5000
Ga1 Ga 0.0000 0.0000 0.0000
```

Final energy ... -29.9 eV per formula unit
Energy relative to the elements ... 0.0128 eV/atom
N(E_F) ... 26.3 states/eV per cell

=====

## CuHgTeI2 (PBE-GGA)

Data for CuHgTeI2 after structural relaxation.

The structure in CIF format:
```
data_CuHgTeI2
_space_group_name_H-M_alt 'P 4/m m m'
_space_group_IT_number 123
_space_group_name_Hall '-P 4 2'
_cell_length_a 5.3938
_cell_length_b 5.3938
_cell_length_c 5.4041
_cell_angle_alpha 90.00
_cell_angle_beta 90.00
_cell_angle_gamma 90.00
loop_
_atom_site_label
_atom_site_type_symbol
_atom_site_fract_x
_atom_site_fract_y
_atom_site_fract_z
Cu1 Cu 0.0000 0.0000 0.0000
Hg1 Hg 0.5000 0.5000 0.5000
Te1 Te 0.0000 0.0000 0.5000
I1 I 0.0000 0.5000 0.0000
```

Final energy ... -9.4 eV per formula unit
N(E_F) ... 6.4 states/eV per cell

=====

## Tm3Tl3VSe8 (PBE-GGA)

Data for Tm3Tl3VSe8 after structural relaxation.

The structure in CIF format:
```
data_Tm3Tl3VSe8
_space_group_name_H-M_alt 'R -3 m'
_space_group_IT_number 166
_space_group_name_Hall '-R 3 2"'
_cell_length_a 8.0067
_cell_length_b 8.0067
_cell_length_c 23.4091
_cell_angle_alpha 90.00
_cell_angle_beta 90.00
_cell_angle_gamma 120.00
loop_
_atom_site_label
_atom_site_type_symbol
_atom_site_fract_x
_atom_site_fract_y
_atom_site_fract_z
Tm1 Tm 0.0000 0.5000 0.0000
Tl1 Tl 0.0000 0.5000 0.5000
V1 V 0.0000 0.0000 0.0000
Se1 Se 0.0000 0.0000 0.2650
Se2 Se 0.0257 0.5129 0.7309
```

Final energy ... -75.1 eV per formula unit
N(E_F) ... 18.8 states/eV per cell

=====

## K2Sn4PdPt3 (PBE-GGA)

Data for K2Sn4PdPt3 after structural relaxation.

The structure in CIF format:
```
data_K2Sn4PdPt3
_space_group_name_H-M_alt 'P -4 m 2'
_space_group_IT_number 115
_space_group_name_Hall 'P -4 -2'
_cell_length_a 4.8223
_cell_length_b 4.8223
_cell_length_c 10.3992
_cell_angle_alpha 90.00
_cell_angle_beta 90.00
_cell_angle_gamma 90.00
loop_
_atom_site_label
_atom_site_type_symbol
_atom_site_fract_x
_atom_site_fract_y
_atom_site_fract_z
K1 K 0.0000 0.5000 0.2423
Sn1 Sn 0.0000 0.0000 0.5000
Sn2 Sn 0.0000 0.5000 0.8823
Sn3 Sn 0.5000 0.5000 0.5000
Pd1 Pd 0.5000 0.5000 0.0000
Pt1 Pt 0.0000 0.0000 0.0000
Pt2 Pt 0.0000 0.5000 0.6241
```

Final energy ... -46.4 eV per formula unit
Energy relative to the elements ... -0.4860 eV/atom
N(E_F) ... 5.8 states/eV per cell

=====

- Number 3 is which compound?
  ReTc2Pt

=====

- Which value of final energy does entry 5 give?
  -29.9 eV per formula unit